<1>
# TaTiP2O

TaTiP2O after structural relaxation (GGA-PBE, the Alexandria database).

Properties
Volume in Å³ per cell: 81.6

Structure (CIF):
```
data_TaTiP2O
_chemical_formula_sum 'Ta1 Ti1 P2 O1'
_space_group_name_H-M_alt 'P 1'
_space_group_IT_number 1
_cell_length_a 4.7828
_cell_length_b 4.7828
_cell_length_c 3.5683
_cell_angle_alpha 90.00
_cell_angle_beta 90.00
_cell_angle_gamma 90.00
loop_
_space_group_symop_operation_xyz
'x,y,z'
loop_
_atom_site_label
_atom_site_type_symbol
_atom_site_fract_x
_atom_site_fract_y
_atom_site_fract_z
Ta1 Ta 0.0000 0.0000 0.0000
Ti1 Ti 0.5000 0.5000 0.5000
P1 P 0.0000 0.5000 0.5000
P2 P 0.5000 0.0000 0.5000
O1 O 0.5000 0.5000 0.0000
```

=====

<2>
# TaTiP2O

TaTiP2O after structural relaxation (GGA-PBE, the Alexandria database).

Properties
Volume in Å³ per cell: 90.9

Structure (CIF):
```
data_TaTiP2O
_chemical_formula_sum 'Ta1 Ti1 P2 O1'
_space_group_name_H-M_alt 'P 1'
_space_group_IT_number 1
_cell_length_a 4.8984
_cell_length_b 4.8984
_cell_length_c 3.7879
_cell_angle_alpha 90.00
_cell_angle_beta 90.00
_cell_angle_gamma 90.00
loop_
_space_group_symop_operation_xyz
'x,y,z'
loop_
_atom_site_label
_atom_site_type_symbol
_atom_site_fract_x
_atom_site_fract_y
_atom_site_fract_z
Ta1 Ta 0.0000 0.0000 0.0000
Ti1 Ti 0.5000 0.5000 0.5000
P1 P 0.0000 0.5000 0.0000
P2 P 0.5000 0.0000 0.0000
O1 O 0.0000 0.0000 0.5000
```

=====

The relative energies come out as <1> 156; <2> 0, with values in meV per atom.

=====

<1>
# TaTiPO2

TaTiPO2 after structural relaxation (GGA-PBE, the Alexandria database).

Properties
Volume in Å³ per cell: 78.9

Structure (CIF):
```
data_TaTiPO2
_chemical_formula_sum 'Ta1 Ti1 P1 O2'
_space_group_name_H-M_alt 'P 1'
_space_group_IT_number 1
_cell_length_a 3.8723
_cell_length_b 3.8723
_cell_length_c 5.2601
_cell_angle_alpha 90.00
_cell_angle_beta 90.00
_cell_angle_gamma 90.00
loop_
_space_group_symop_operation_xyz
'x,y,z'
loop_
_atom_site_label
_atom_site_type_symbol
_atom_site_fract_x
_atom_site_fract_y
_atom_site_fract_z
Ta1 Ta 0.0000 0.0000 0.0000
Ti1 Ti 0.5000 0.5000 0.5000
P1 P 0.0000 0.0000 0.5000
O1 O 0.0000 0.5000 0.0000
O2 O 0.5000 0.0000 0.0000
```

=====

<2>
# TaTiPO2

TaTiPO2 after structural relaxation (GGA-PBE, the Alexandria database).

Properties
Volume in Å³ per cell: 72.5

Structure (CIF):
```
data_TaTiPO2
_chemical_formula_sum 'Ta1 Ti1 P1 O2'
_space_group_name_H-M_alt 'P 1'
_space_group_IT_number 1
_cell_length_a 3.7187
_cell_length_b 3.7187
_cell_length_c 5.2396
_cell_angle_alpha 90.00
_cell_angle_beta 90.00
_cell_angle_gamma 90.00
loop_
_space_group_symop_operation_xyz
'x,y,z'
loop_
_atom_site_label
_atom_site_type_symbol
_atom_site_fract_x
_atom_site_fract_y
_atom_site_fract_z
Ta1 Ta 0.0000 0.0000 0.0000
Ti1 Ti 0.5000 0.5000 0.5000
P1 P 0.5000 0.5000 0.0000
O1 O 0.0000 0.5000 0.5000
O2 O 0.5000 0.0000 0.5000
```

=====

The relative energies come out as <1> 0; <2> 339, with values in meV per atom.

=====

<1>
# TaTlP2O

TaTlP2O after structural relaxation (GGA-PBE, the Alexandria database).

Properties
Volume in Å³ per cell: 99.8

Structure (CIF):
```
data_TaTlP2O
_chemical_formula_sum 'Ta1 Tl1 P2 O1'
_space_group_name_H-M_alt 'P 1'
_space_group_IT_number 1
_cell_length_a 5.0156
_cell_length_b 5.0156
_cell_length_c 3.9684
_cell_angle_alpha 90.00
_cell_angle_beta 90.00
_cell_angle_gamma 90.00
loop_
_space_group_symop_operation_xyz
'x,y,z'
loop_
_atom_site_label
_atom_site_type_symbol
_atom_site_fract_x
_atom_site_fract_y
_atom_site_fract_z
Ta1 Ta 0.0000 0.0000 0.0000
Tl1 Tl 0.5000 0.5000 0.5000
P1 P 0.0000 0.5000 0.5000
P2 P 0.5000 0.0000 0.5000
O1 O 0.5000 0.5000 0.0000
```

=====

<2>
# TaTlP2O

TaTlP2O after structural relaxation (GGA-PBE, the Alexandria database).

Properties
Volume in Å³ per cell: 98.5

Structure (CIF):
```
data_TaTlP2O
_chemical_formula_sum 'Ta1 Tl1 P2 O1'
_space_group_name_H-M_alt 'P 1'
_space_group_IT_number 1
_cell_length_a 5.0168
_cell_length_b 5.0168
_cell_length_c 3.9144
_cell_angle_alpha 90.00
_cell_angle_beta 90.00
_cell_angle_gamma 90.00
loop_
_space_group_symop_operation_xyz
'x,y,z'
loop_
_atom_site_label
_atom_site_type_symbol
_atom_site_fract_x
_atom_site_fract_y
_atom_site_fract_z
Ta1 Ta 0.0000 0.0000 0.0000
Tl1 Tl 0.5000 0.5000 0.5000
P1 P 0.0000 0.5000 0.0000
P2 P 0.5000 0.0000 0.0000
O1 O 0.0000 0.0000 0.5000
```

=====

The relative energies come out as <1> 1871; <2> 0, with values in meV per atom.